[1]
Compound: Pr3Bi4Pt3
Source: Alexandria via LeMat-Bulk
Functional: PBE-GGA
Structure: optimized geometry

Calculated formation energy in meV/atom: -852
Total moment in μB/cell: 0.0

Lattice parameters (Å, degrees): 8.8428 8.8428 8.8428 109.47 109.47 109.47
Last column: nearest neighbours and their distance in Å.
Positions (direct):
Pr (0.1250, 0.7500, 0.8750)  4 Pt 3.13
Pr (0.2500, 0.6250, 0.3750)  4 Pt 3.13
Pr (0.3750, 0.2500, 0.6250)  4 Pt 3.13
Pr (0.6250, 0.3750, 0.2500)  4 Pt 3.13
Pr (0.7500, 0.8750, 0.1250)  4 Pt 3.13
Pr (0.8750, 0.1250, 0.7500)  4 Pt 3.13
Bi (0.0000, 0.3307, 0.5000)  3 Pt 2.86
Bi (0.0000, 0.8307, 0.5000)  3 Pt 2.86
Bi (0.1693, 0.1693, 0.1693)  3 Pt 2.86
Bi (0.3307, 0.5000, 0.0000)  3 Pt 2.86
Bi (0.5000, 0.0000, 0.3307)  3 Pt 2.86
Bi (0.5000, 0.0000, 0.8307)  3 Pt 2.86
Bi (0.6693, 0.6693, 0.6693)  3 Pt 2.86
Bi (0.8307, 0.5000, 0.0000)  3 Pt 2.86
Pt (0.1250, 0.8750, 0.2500)  4 Bi 2.86, 4 Pr 3.13
Pt (0.2500, 0.1250, 0.8750)  4 Bi 2.86, 4 Pr 3.13
Pt (0.3750, 0.6250, 0.7500)  4 Bi 2.86, 4 Pr 3.13
Pt (0.6250, 0.7500, 0.3750)  4 Bi 2.86, 4 Pr 3.13
Pt (0.7500, 0.3750, 0.6250)  4 Bi 2.86, 4 Pr 3.13
Pt (0.8750, 0.2500, 0.1250)  4 Bi 2.86, 4 Pr 3.13

[2]
Compound: PrBiPt2
Source: Alexandria via LeMat-Bulk
Functional: PBE-GGA
Structure: optimized geometry

Calculated formation energy in meV/atom: -648
Total moment in μB/cell: 0.0

Lattice parameters (Å, degrees): 4.8734 4.8734 3.8121 90.00 90.00 90.00
Last column: nearest neighbours and their distance in Å.
Positions (direct):
Pr (0.0000, 0.0000, 0.0000)  8 Pt 3.09, 4 Bi 3.45
Bi (0.5000, 0.5000, 0.0000)  8 Pt 3.09, 4 Pr 3.45
Pt (0.0000, 0.5000, 0.5000)  4 Pr 3.09, 4 Bi 3.09, 4 Pt 3.45
Pt (0.5000, 0.0000, 0.5000)  4 Pr 3.09, 4 Bi 3.09, 4 Pt 3.45

[3]
Compound: PrSi2Bi2Pt7
Source: Alexandria via LeMat-Bulk
Functional: PBE-GGA
Structure: optimized geometry

Total moment in μB/cell: 0.0
Formation energy without anion corrections in eV/atom: -0.59

Lattice parameters (Å, degrees): 4.0427 4.0427 15.4888 97.47 97.47 90.00
Last column: nearest neighbours and their distance in Å.
Positions (direct):
Pr (0.0000, 0.0000, 0.0000)  12 Pt 2.86-3.07
Si (0.3820, 0.3820, 0.7622)  5 Pt 2.33-2.41
Si (0.6180, 0.6180, 0.2378)  5 Pt 2.33-2.41
Bi (0.2096, 0.2096, 0.4197)  5 Pt 2.88-2.89
Bi (0.7904, 0.7904, 0.5803)  5 Pt 2.88-2.89
Pt (0.0751, 0.5750, 0.1516)  2 Si 2.41
Pt (0.3042, 0.3042, 0.6089)  1 Si 2.33
Pt (0.4250, 0.9249, 0.8484)  2 Si 2.41
Pt (0.5000, 0.5000, 0.0000)  4 Pr 2.86, 8 Pt 3.07
Pt (0.5750, 0.0751, 0.1516)  2 Si 2.41
Pt (0.6958, 0.6958, 0.3911)  1 Si 2.33
Pt (0.9249, 0.4250, 0.8484)  2 Si 2.41

[4]
Compound: Pr3Si2BiPt9
Source: Alexandria via LeMat-Bulk
Functional: PBE-GGA
Structure: optimized geometry

Total moment in μB/cell: 0.0
Formation energy without anion corrections in eV/atom: -0.56

Lattice parameters (Å, degrees): 7.5305 7.5305 6.7123 90.00 90.00 120.00
Last column: nearest neighbours and their distance in Å.
Positions (direct):
Pr (0.0000, 0.0000, 0.0000)  6 Pt 3.15, 2 Bi 3.36
Pr (0.3333, 0.6667, 0.6574)  6 Pt 3.06-3.16, 1 Si 3.17
Pr (0.6667, 0.3333, 0.3426)  6 Pt 3.06-3.16, 1 Si 3.17
Si (0.3333, 0.6667, 0.1298)  6 Pt 2.33-2.34
Si (0.6667, 0.3333, 0.8702)  6 Pt 2.33-2.34
Bi (0.0000, 0.0000, 0.5000)  6 Pt 2.68
Pt (0.0000, 0.5000, 0.0000)  2 Si 2.34
Pt (0.1811, 0.3623, 0.3107)  1 Si 2.33
Pt (0.1811, 0.8189, 0.3107)  1 Si 2.33
Pt (0.3623, 0.1811, 0.6893)  1 Si 2.33
Pt (0.5000, 0.0000, 0.0000)  2 Si 2.34
Pt (0.5000, 0.5000, 0.0000)  2 Si 2.34
Pt (0.6377, 0.8189, 0.3107)  1 Si 2.33
Pt (0.8189, 0.1811, 0.6893)  1 Si 2.33
Pt (0.8189, 0.6377, 0.6893)  1 Si 2.33

[5]
Compound: Pr2Sn3BiPt4
Source: Alexandria via LeMat-Bulk
Functional: PBE-GGA
Structure: optimized geometry

Calculated formation energy in meV/atom: -771
Total moment in μB/cell: 0.0

Lattice parameters (Å, degrees): 4.6741 4.6741 10.8204 90.00 90.00 90.00
Last column: nearest neighbours and their distance in Å.
Positions (direct):
Pr (0.0000, 0.5000, 0.2276)  8 Pt 3.39-3.62, 6 Sn 3.49-3.76, 2 Bi 3.76
Pr (0.5000, 0.0000, 0.7724)  8 Pt 3.39-3.62, 6 Sn 3.49-3.76, 2 Bi 3.76
Sn (0.0000, 0.5000, 0.8760)  5 Pt 2.59-2.69
Sn (0.5000, 0.0000, 0.1240)  5 Pt 2.59-2.69
Sn (0.5000, 0.5000, 0.5000)  4 Pt 2.77
Bi (0.0000, 0.0000, 0.5000)  4 Pt 2.77
Pt (0.0000, 0.0000, 0.0000)  4 Sn 2.69
Pt (0.0000, 0.5000, 0.6366)  3 Sn 2.59-2.77, 2 Bi 2.77
Pt (0.5000, 0.0000, 0.3634)  3 Sn 2.59-2.77, 2 Bi 2.77
Pt (0.5000, 0.5000, 0.0000)  4 Sn 2.69

[6]
Compound: Pr5PuBi4
Source: Alexandria via LeMat-Bulk
Functional: PBE-GGA
Structure: optimized geometry

Calculated formation energy in meV/atom: -466
Total moment in μB/cell: 5.8

Lattice parameters (Å, degrees): 10.1148 10.1148 8.8545 105.33 105.33 25.92
Last column: nearest neighbours and their distance in Å.
Positions (direct):
Pr (0.0000, 0.0000, 0.0000)  4 Bi 3.19
Pr (0.3234, 0.3234, 0.1481)  3 Bi 3.20-3.23
Pr (0.3368, 0.3368, 0.6782)  4 Bi 3.20-3.26
Pr (0.6632, 0.6632, 0.3218)  4 Bi 3.20-3.26
Pr (0.6766, 0.6766, 0.8519)  3 Bi 3.20-3.23
Pu (0.0000, 0.0000, 0.5000)  6 Bi 3.15-3.19
Bi (0.1682, 0.1682, 0.5871)  1 Pu 3.19, 5 Pr 3.20-3.25
Bi (0.4921, 0.4921, 0.2486)  2 Pu 3.15, 4 Pr 3.19-3.26
Bi (0.5079, 0.5079, 0.7514)  2 Pu 3.15, 4 Pr 3.19-3.26
Bi (0.8318, 0.8318, 0.4129)  1 Pu 3.19, 5 Pr 3.20-3.25

[7]
Compound: PrPuBi2
Source: Alexandria via LeMat-Bulk
Functional: PBE-GGA
Structure: optimized geometry

Calculated formation energy in meV/atom: -637
Total moment in μB/cell: 15.3
Energy above the lowest structure with this stoichiometry in meV/atom: 0

Lattice parameters (Å, degrees): 4.5917 4.5917 22.4714 90.00 90.00 120.00
Last column: nearest neighbours and their distance in Å.
Positions (direct):
Pr (0.0000, 0.0000, 0.0000)  6 Bi 3.28
Pr (0.3333, 0.6667, 0.6667)  6 Bi 3.28
Pr (0.6667, 0.3333, 0.3333)  6 Bi 3.28
Pu (0.0000, 0.0000, 0.5000)  6 Bi 3.21
Pu (0.3333, 0.6667, 0.1667)  6 Bi 3.21
Pu (0.6667, 0.3333, 0.8333)  6 Bi 3.21
Bi (0.0000, 0.0000, 0.2471)  3 Pu 3.21, 3 Pr 3.28
Bi (0.0000, 0.0000, 0.7529)  3 Pu 3.21, 3 Pr 3.28
Bi (0.3333, 0.6667, 0.4196)  3 Pu 3.21, 3 Pr 3.28
Bi (0.3333, 0.6667, 0.9137)  3 Pu 3.21, 3 Pr 3.28
Bi (0.6667, 0.3333, 0.0863)  3 Pu 3.21, 3 Pr 3.28
Bi (0.6667, 0.3333, 0.5804)  3 Pu 3.21, 3 Pr 3.28

[8]
Compound: PrPuBi2
Source: Alexandria via LeMat-Bulk
Functional: PBE-GGA
Structure: optimized geometry

Calculated formation energy in meV/atom: -515
Total moment in μB/cell: 5.8
Energy above the lowest structure with this stoichiometry in meV/atom: 122

Lattice parameters (Å, degrees): 3.7701 3.7701 8.5625 90.00 90.00 90.00
Last column: nearest neighbours and their distance in Å.
Positions (direct):
Pr (0.0000, 0.0000, 0.0000)  8 Bi 3.45, 4 Pr 3.77
Pu (0.0000, 0.0000, 0.5000)  8 Bi 3.39, 4 Pu 3.77
Bi (0.5000, 0.5000, 0.2553)  4 Pu 3.39, 4 Pr 3.45, 4 Bi 3.77
Bi (0.5000, 0.5000, 0.7447)  4 Pu 3.39, 4 Pr 3.45, 4 Bi 3.77

[9]
Compound: PrPuBi2
Source: Alexandria via LeMat-Bulk
Functional: PBE-GGA
Structure: optimized geometry

Calculated formation energy in meV/atom: -527
Total moment in μB/cell: 5.2
Energy above the lowest structure with this stoichiometry in meV/atom: 109

Lattice parameters (Å, degrees): 4.5389 4.5389 7.9469 90.00 90.00 120.00
Last column: nearest neighbours and their distance in Å.
Positions (direct):
Pr (0.0000, 0.0000, 0.0000)  6 Bi 3.32
Pu (0.0000, 0.0000, 0.5000)  6 Bi 3.26
Bi (0.3333, 0.6667, 0.7433)  3 Pu 3.26, 3 Pr 3.32
Bi (0.6667, 0.3333, 0.2567)  3 Pu 3.26, 3 Pr 3.32

[10]
Compound: PrPuBi2
Source: Alexandria via LeMat-Bulk
Functional: PBE-GGA
Structure: optimized geometry

Calculated formation energy in meV/atom: -541
Total moment in μB/cell: 15.2
Energy above the lowest structure with this stoichiometry in meV/atom: 95

Lattice parameters (Å, degrees): 4.5622 4.5622 23.2459 90.00 90.00 120.00
Last column: nearest neighbours and their distance in Å.
Positions (direct):
Pr (0.0000, 0.0000, 0.0000)  6 Bi 3.29-3.36
Pr (0.3333, 0.6667, 0.6667)  6 Bi 3.29-3.36
Pr (0.6667, 0.3333, 0.3333)  6 Bi 3.29-3.36
Pu (0.0000, 0.0000, 0.1709)  6 Bi 3.19-3.24
Pu (0.3333, 0.6667, 0.8376)  6 Bi 3.19-3.24
Pu (0.6667, 0.3333, 0.5043)  6 Bi 3.19-3.24
Bi (0.0000, 0.0000, 0.5816)  3 Pu 3.19, 3 Pr 3.29
Bi (0.0000, 0.0000, 0.7563)  3 Pu 3.24, 3 Pr 3.36
Bi (0.3333, 0.6667, 0.2483)  3 Pu 3.19, 3 Pr 3.29
Bi (0.3333, 0.6667, 0.4230)  3 Pu 3.24, 3 Pr 3.36
Bi (0.6667, 0.3333, 0.0897)  3 Pu 3.24, 3 Pr 3.36
Bi (0.6667, 0.3333, 0.9150)  3 Pu 3.19, 3 Pr 3.29

Please write out number 6 again, unchanged.
Compound: Pr5PuBi4
Source: Alexandria via LeMat-Bulk
Functional: PBE-GGA
Structure: optimized geometry

Calculated formation energy in meV/atom: -466
Total moment in μB/cell: 5.8

Lattice parameters (Å, degrees): 10.1148 10.1148 8.8545 105.33 105.33 25.92
Last column: nearest neighbours and their distance in Å.
Positions (direct):
Pr (0.0000, 0.0000, 0.0000)  4 Bi 3.19
Pr (0.3234, 0.3234, 0.1481)  3 Bi 3.20-3.23
Pr (0.3368, 0.3368, 0.6782)  4 Bi 3.20-3.26
Pr (0.6632, 0.6632, 0.3218)  4 Bi 3.20-3.26
Pr (0.6766, 0.6766, 0.8519)  3 Bi 3.20-3.23
Pu (0.0000, 0.0000, 0.5000)  6 Bi 3.15-3.19
Bi (0.1682, 0.1682, 0.5871)  1 Pu 3.19, 5 Pr 3.20-3.25
Bi (0.4921, 0.4921, 0.2486)  2 Pu 3.15, 4 Pr 3.19-3.26
Bi (0.5079, 0.5079, 0.7514)  2 Pu 3.15, 4 Pr 3.19-3.26
Bi (0.8318, 0.8318, 0.4129)  1 Pu 3.19, 5 Pr 3.20-3.25

Copy entry 1 word for word.
Compound: Pr3Bi4Pt3
Source: Alexandria via LeMat-Bulk
Functional: PBE-GGA
Structure: optimized geometry

Calculated formation energy in meV/atom: -852
Total moment in μB/cell: 0.0

Lattice parameters (Å, degrees): 8.8428 8.8428 8.8428 109.47 109.47 109.47
Last column: nearest neighbours and their distance in Å.
Positions (direct):
Pr (0.1250, 0.7500, 0.8750)  4 Pt 3.13
Pr (0.2500, 0.6250, 0.3750)  4 Pt 3.13
Pr (0.3750, 0.2500, 0.6250)  4 Pt 3.13
Pr (0.6250, 0.3750, 0.2500)  4 Pt 3.13
Pr (0.7500, 0.8750, 0.1250)  4 Pt 3.13
Pr (0.8750, 0.1250, 0.7500)  4 Pt 3.13
Bi (0.0000, 0.3307, 0.5000)  3 Pt 2.86
Bi (0.0000, 0.8307, 0.5000)  3 Pt 2.86
Bi (0.1693, 0.1693, 0.1693)  3 Pt 2.86
Bi (0.3307, 0.5000, 0.0000)  3 Pt 2.86
Bi (0.5000, 0.0000, 0.3307)  3 Pt 2.86
Bi (0.5000, 0.0000, 0.8307)  3 Pt 2.86
Bi (0.6693, 0.6693, 0.6693)  3 Pt 2.86
Bi (0.8307, 0.5000, 0.0000)  3 Pt 2.86
Pt (0.1250, 0.8750, 0.2500)  4 Bi 2.86, 4 Pr 3.13
Pt (0.2500, 0.1250, 0.8750)  4 Bi 2.86, 4 Pr 3.13
Pt (0.3750, 0.6250, 0.7500)  4 Bi 2.86, 4 Pr 3.13
Pt (0.6250, 0.7500, 0.3750)  4 Bi 2.86, 4 Pr 3.13
Pt (0.7500, 0.3750, 0.6250)  4 Bi 2.86, 4 Pr 3.13
Pt (0.8750, 0.2500, 0.1250)  4 Bi 2.86, 4 Pr 3.13